The following is a DFT calculation (PBE-GGA) of a relaxed TiCrI3 crystal.

Properties
Formation energy (no corrections) (eV per atom): 0.16
V (Å³/atom): 35.3
Calculated total energy (eV/atom): -4.278
Space group: No. 221
Relative energy among the computed polymorphs (meV/atom): 0

abc: 5.6093 5.6093 5.6093
angles: 90.00 90.00 90.00
Closest atoms and distances in Å follow each position.
Positions (direct):
Ti 0.0000 0.0000 0.0000  6 I 2.80
I 0.0000 0.5000 0.0000  2 Ti 2.80
I 0.0000 0.0000 0.5000  2 Ti 2.80
I 0.5000 0.0000 0.0000  2 Ti 2.80
Cr 0.5000 0.5000 0.5000  12 I 3.97